{"formula": "YAgRh2", "functional": "PBE-GGA", "state": "optimized geometry", "lattice": [[4.131, 0.000, 0.000], [0.000, 4.131, 0.000], [2.065, 2.065, 9.332]], "species": ["Y", "Y", "Rh", "Rh", "Rh", "Rh", "Ag", "Ag"], "frac_coords": [[0.500, 0.500, 0.000], [0.250, 0.750, 0.500], [0.679, 0.125, 0.250], [0.071, 0.625, 0.250], [0.375, 0.321, 0.750], [0.875, 0.929, 0.750], [0.000, 0.000, 0.000], [0.750, 0.250, 0.500]], "magmom_total_mub_per_atom": 0.0000, "dos_ef_per_ev_atom": 0.90, "space_group": "I-42d (122)", "volume_a3_per_atom": 19.91, "ef_ev_per_atom": 0.016}